VASP calculation (PBE-GGA) on a relaxed structure of Dy5HoEr2.

Cell: 5.584 8.577 11.320 Å, 89.96 90.00 109.03°
Sites, in units of the cell vectors:
Dy 0.394 0.788 0.750
Dy 0.046 0.092 0.388
Dy 0.588 0.176 0.921
Er 0.787 0.573 0.080
Er 0.213 0.427 0.920
Ho 0.773 0.545 0.750
Dy 0.588 0.176 0.580
Dy 0.045 0.090 0.113
Er 0.786 0.573 0.420
Dy 0.954 0.908 0.612
Dy 0.412 0.824 0.420
Dy 0.412 0.824 0.079
Ho 0.227 0.455 0.250
Dy 0.606 0.212 0.250
Dy 0.955 0.910 0.887
Er 0.214 0.427 0.580

Output
Its total energy is -4.4511 eV/atom. The calculation puts the magnetic moment at 0.00 μB/cell. As for the formation energy: 0.1381 eV per atom.

VASP calculation (PBE-GGA) on a relaxed structure of Dy2HoEr.

Cell: 5.621 5.621 5.621 Å, 60.00 60.00 60.00°
Sites, in units of the cell vectors:
Dy 0.250 0.250 0.250
Er 0.500 0.500 0.500
Ho 0.000 0.000 0.000
Dy 0.750 0.750 0.750

Output
Its total energy is -4.4423 eV/atom. The calculation puts the magnetic moment at 0.01 μB/cell. As for the formation energy: 0.1439 eV per atom.

VASP calculation (PBE-GGA) on a relaxed structure of DyHo5Er4.

Cell: 6.243 7.777 7.777 Å, 80.73 66.34 66.34°
Sites, in units of the cell vectors:
Dy 0.222 0.000 0.000
Ho 0.806 0.377 0.912
Ho 0.718 0.088 0.377
Er 0.105 0.298 0.395
Ho 0.095 0.623 0.088
Er 0.798 0.702 0.605
Er 0.403 0.395 0.702
Ho 0.184 0.912 0.623
Er 0.500 0.605 0.298
Ho 0.680 0.000 0.000

Output
Its total energy is -4.2623 eV/atom. The calculation puts the magnetic moment at 0.00 μB/cell. As for the formation energy: 0.3119 eV per atom.

VASP calculation (PBE-GGA) on a relaxed structure of Dy2HoEr8.

Cell: 5.825 8.974 9.312 Å, 61.19 73.48 53.83°
Sites, in units of the cell vectors:
Er 0.500 0.796 0.407
Er 0.711 0.556 0.000
Er 0.196 0.656 0.246
Er 0.500 0.204 0.593
Er 0.804 0.098 0.246
Ho 0.500 0.000 0.000
Er 0.804 0.344 0.754
Dy 0.000 0.310 0.381
Er 0.196 0.902 0.754
Er 0.289 0.444 0.000
Dy 0.000 0.690 0.619

Output
Its total energy is -4.4082 eV/atom. The calculation puts the magnetic moment at 0.00 μB/cell. As for the formation energy: 0.1631 eV per atom.

VASP calculation (PBE-GGA) on a relaxed structure of Dy4Ho5Er.

Cell: 6.214 7.808 7.808 Å, 80.89 66.55 66.55°
Sites, in units of the cell vectors:
Dy 0.405 0.391 0.701
Dy 0.497 0.609 0.299
Ho 0.682 0.000 0.000
Ho 0.804 0.377 0.917
Ho 0.182 0.917 0.623
Er 0.220 0.000 0.000
Ho 0.099 0.623 0.083
Ho 0.721 0.083 0.377
Dy 0.796 0.701 0.609
Dy 0.106 0.299 0.391

Output
Its total energy is -4.2769 eV/atom. The calculation puts the magnetic moment at 0.00 μB/cell. As for the formation energy: 0.3091 eV per atom.

VASP calculation (PBE-GGA) on a relaxed structure of Dy2Ho4Er5.

Cell: 3.443 8.576 11.850 Å, 83.00 98.35 90.00°
Sites, in units of the cell vectors:
Dy 0.092 0.259 0.183
Er 0.500 0.000 0.000
Ho 0.323 0.472 0.646
Er 0.141 0.880 0.282
Er 0.232 0.175 0.464
Er 0.768 0.825 0.536
Ho 0.954 0.360 0.909
Dy 0.908 0.741 0.817
Er 0.859 0.120 0.718
Ho 0.677 0.528 0.354
Ho 0.046 0.640 0.091

Output
Its total energy is -4.4186 eV/atom. The calculation puts the magnetic moment at 0.00 μB/cell. As for the formation energy: 0.1568 eV per atom.

VASP calculation (PBE-GGA) on a relaxed structure of Dy3Ho2Er4.

Cell: 6.049 11.121 11.121 Å, 61.88 62.11 62.11°
Sites, in units of the cell vectors:
Dy 0.247 0.930 0.737
Er 0.578 0.095 0.813
Er 0.920 0.854 0.572
Er 0.580 0.428 0.146
Er 0.422 0.905 0.187
Dy 0.250 0.597 0.403
Dy 0.747 0.737 0.930
Dy 0.753 0.070 0.263
Ho 0.922 0.520 0.238
Er 0.078 0.813 0.095
Er 0.420 0.572 0.854
Ho 0.422 0.238 0.520
Dy 0.750 0.403 0.597
Ho 0.078 0.480 0.762
Er 0.080 0.146 0.428
Ho 0.578 0.762 0.480
Dy 0.253 0.263 0.070
Er 0.922 0.187 0.905

Output
Its total energy is -4.4752 eV/atom. The calculation puts the magnetic moment at 0.00 μB/cell. As for the formation energy: 0.1040 eV per atom.

VASP calculation (PBE-GGA) on a relaxed structure of Dy3Ho2Er8.

Cell: 5.537 7.532 10.708 Å, 110.59 90.00 90.00°
Sites, in units of the cell vectors:
Er 0.500 0.821 0.218
Er 0.500 0.179 0.782
Ho 0.500 0.241 0.483
Er 0.000 0.133 0.266
Er 0.000 0.332 0.665
Dy 0.500 0.000 0.000
Er 0.000 0.867 0.734
Er 0.000 0.668 0.335
Dy 0.000 0.715 0.000
Ho 0.500 0.759 0.517
Er 0.500 0.603 0.782
Er 0.500 0.397 0.218
Dy 0.000 0.285 0.000

Output
Its total energy is -4.3284 eV/atom. The calculation puts the magnetic moment at 0.00 μB/cell. As for the formation energy: 0.2458 eV per atom.

VASP calculation (PBE-GGA) on a relaxed structure of DyHo7Er5.

Cell: 6.624 8.589 8.589 Å, 79.70 67.32 67.32°
Sites, in units of the cell vectors:
Er 0.731 0.769 0.769
Ho 0.980 0.349 0.691
Er 0.999 0.541 0.997
Ho 0.231 0.269 0.269
Ho 0.730 0.270 0.270
Ho 0.423 0.577 0.577
Er 0.463 0.541 0.997
Ho 0.482 0.190 0.847
Er 0.463 0.997 0.541
Dy 0.037 0.963 0.963
Er 0.999 0.997 0.541
Ho 0.980 0.691 0.349
Ho 0.482 0.847 0.190

Output
Its total energy is -4.3144 eV/atom. The calculation puts the magnetic moment at 0.00 μB/cell. As for the formation energy: 0.2595 eV per atom.

VASP calculation (PBE-GGA) on a relaxed structure of Dy3Ho5Er3.

Cell: 3.402 11.008 11.008 Å, 120.00 90.00 90.00°
Sites, in units of the cell vectors:
Er 0.000 0.000 0.594
Dy 0.500 0.341 0.000
Ho 0.500 0.160 0.160
Dy 0.500 0.659 0.659
Ho 0.500 0.000 0.840
Ho 0.500 0.333 0.667
Ho 0.500 0.840 0.000
Ho 0.500 0.667 0.333
Dy 0.500 0.000 0.341
Er 0.000 0.406 0.406
Er 0.000 0.594 0.000

Output
Its total energy is -4.2191 eV/atom. The calculation puts the magnetic moment at 0.00 μB/cell. As for the formation energy: 0.3612 eV per atom.

VASP calculation (PBE-GGA) on a relaxed structure of Dy2Ho7Er2.

Cell: 5.982 11.050 7.932 Å, 45.85 105.95 113.23°
Sites, in units of the cell vectors:
Ho 0.000 0.000 0.000
Ho 0.175 0.411 0.528
Dy 0.500 0.216 0.568
Ho 0.415 0.768 0.000
Ho 0.175 0.938 0.472
Dy 0.500 0.784 0.432
Ho 0.825 0.589 0.472
Er 0.196 0.411 0.000
Er 0.804 0.589 0.000
Ho 0.585 0.232 0.000
Ho 0.825 0.062 0.528

Output
Its total energy is -4.4154 eV/atom. The calculation puts the magnetic moment at 0.00 μB/cell. As for the formation energy: 0.1641 eV per atom.

VASP calculation (PBE-GGA) on a relaxed structure of Dy5Ho2Er3.

Cell: 6.220 10.960 10.960 Å, 99.73 73.52 73.52°
Sites, in units of the cell vectors:
Ho 0.598 0.059 0.745
Dy 0.999 0.751 0.751
Er 0.341 0.411 0.908
Er 0.841 0.908 0.411
Er 0.659 0.589 0.092
Dy 0.750 0.500 0.500
Er 0.250 0.000 0.000
Dy 0.499 0.751 0.751
Ho 0.098 0.745 0.059
Dy 0.400 0.757 0.443
Er 0.159 0.092 0.589
Dy 0.501 0.249 0.249
Dy 0.250 0.500 0.500
Er 0.750 0.000 0.000
Dy 0.900 0.443 0.757
Dy 0.001 0.249 0.249
Dy 0.100 0.557 0.243
Ho 0.902 0.255 0.941
Ho 0.402 0.941 0.255
Dy 0.600 0.243 0.557

Output
Its total energy is -4.2250 eV/atom. The calculation puts the magnetic moment at 0.00 μB/cell. As for the formation energy: 0.3605 eV per atom.